Entry 1:
Crystalline Pm5PrDy2Y at its relaxed geometry, computed with GGA-PBE.

Structure (CIF):
```
data_Pm5PrDy2Y
_space_group_name_H-M_alt 'C m c 21'
_space_group_IT_number 36
_space_group_name_Hall 'C 2c -2'
_cell_length_a 5.7098
_cell_length_b 20.2946
_cell_length_c 10.6925
_cell_angle_alpha 90.00
_cell_angle_beta 90.00
_cell_angle_gamma 90.00
loop_
_atom_site_label
_atom_site_fract_x
_atom_site_fract_y
_atom_site_fract_z
Pm1 0.0000 0.0172 0.0000
Pm2 0.0000 0.2805 0.2914
Pm3 0.0000 0.2978 0.6870
Pm4 0.0000 0.3873 0.0012
Pm5 0.0000 0.4796 0.7187
Pr1 0.0000 0.4135 0.4317
Dy1 0.0000 0.1135 0.7114
Dy2 0.0000 0.1159 0.2981
Y1 0.0000 0.2000 0.9901
```

Calculated values
density of states at the Fermi level = 1.599 states/eV/atom
M_tot = 0.00 Bohr magnetons per cell
energy relative to the elements = 0.147 eV/atom


Entry 2:
Crystalline Pm2Pr6DyY at its relaxed geometry, computed with GGA-PBE.

Structure (CIF):
```
data_Pm2Pr6DyY
_space_group_name_H-M_alt 'C 1 2/c 1'
_space_group_IT_number 15
_space_group_name_Hall '-C 2yc'
_cell_length_a 9.2981
_cell_length_b 15.5710
_cell_length_c 9.8618
_cell_angle_alpha 90.00
_cell_angle_beta 98.16
_cell_angle_gamma 90.00
loop_
_atom_site_label
_atom_site_fract_x
_atom_site_fract_y
_atom_site_fract_z
Pm1 0.2468 0.0508 0.0435
Pr1 0.0609 0.1816 0.4467
Pr2 0.1034 0.3952 0.6182
Pr3 0.2086 0.2220 0.8101
Dy1 0.0000 0.4095 0.2500
Y1 0.0000 0.0229 0.7500
```

Calculated values
density of states at the Fermi level = 1.476 states/eV/atom
M_tot = 0.00 Bohr magnetons per cell
energy relative to the elements = 0.111 eV/atom


Entry 3:
Crystalline Pm4Pr2DyY2 at its relaxed geometry, computed with GGA-PBE.

Structure (CIF):
```
data_Pm4Pr2DyY2
_space_group_name_H-M_alt 'C 1 2/m 1'
_space_group_IT_number 12
_space_group_name_Hall '-C 2y'
_cell_length_a 19.0118
_cell_length_b 3.6738
_cell_length_c 9.7502
_cell_angle_alpha 90.00
_cell_angle_beta 115.66
_cell_angle_gamma 90.00
loop_
_atom_site_label
_atom_site_fract_x
_atom_site_fract_y
_atom_site_fract_z
Pm1 0.0186 0.0000 0.3333
Pm2 0.1857 0.5000 0.3340
Pr1 0.1655 0.0000 0.9993
Dy1 0.0000 0.5000 0.0000
Y1 0.1470 0.5000 0.6653
```

Calculated values
density of states at the Fermi level = 1.316 states/eV/atom
M_tot = 0.00 Bohr magnetons per cell
energy relative to the elements = 0.004 eV/atom


Entry 4:
Crystalline Pm2Pr2DyY6 at its relaxed geometry, computed with GGA-PBE.

Structure (CIF):
```
data_Pm2Pr2DyY6
_space_group_name_H-M_alt 'C 1 2/m 1'
_space_group_IT_number 12
_space_group_name_Hall '-C 2y'
_cell_length_a 5.7254
_cell_length_b 12.1666
_cell_length_c 10.6580
_cell_angle_alpha 90.00
_cell_angle_beta 90.06
_cell_angle_gamma 90.00
loop_
_atom_site_label
_atom_site_fract_x
_atom_site_fract_y
_atom_site_fract_z
Pm1 0.0000 0.2090 0.0000
Pr1 0.0000 0.1314 0.5000
Dy1 0.0000 0.5000 0.0000
Y1 0.0010 0.0000 0.7988
Y2 0.0009 0.3487 0.7053
```

Calculated values
density of states at the Fermi level = 1.695 states/eV/atom
M_tot = 0.00 Bohr magnetons per cell
energy relative to the elements = 0.137 eV/atom